No. 1
Here is ZrPRhS2 after structural relaxation from Alexandria via LeMat-Bulk. Energies are from PBE.

Calculated values
distance to the lowest polymorph of the same formula: 355 meV per atom
formation energy from raw total energies: 406.6 meV/atom

Lattice parameters (Å, degrees): 4.894 4.894 5.058 90.00 90.00 90.00
Element x y z (fractional)
Zr (0.000, 0.000, 0.000)
P (0.000, 0.000, 0.500)
Rh (0.500, 0.500, 0.500)
S (0.000, 0.500, 0.000)
S (0.500, 0.000, 0.000)


No. 2
Here is LiNbB2Sb after structural relaxation from Alexandria via LeMat-Bulk. Energies are from PBE.

Calculated values
formation energy from raw total energies: 1302.3 meV/atom

Lattice parameters (Å, degrees): 4.269 4.269 5.000 90.00 90.00 90.00
Element x y z (fractional)
Li (0.000, 0.000, 0.000)
Nb (0.000, 0.000, 0.500)
B (0.000, 0.500, 0.500)
B (0.500, 0.000, 0.500)
Sb (0.500, 0.500, 0.000)


No. 3
Here is LiPrYS3 after structural relaxation from Alexandria via LeMat-Bulk. Energies are from PBE.

Calculated values
formation energy from raw total energies: -1834.2 meV/atom

Lattice parameters (Å, degrees): 8.180 3.885 8.492 90.00 102.72 90.00
Element x y z (fractional)
Li (0.087, 0.250, 0.085)
Li (0.913, 0.750, 0.915)
Pr (0.188, 0.250, 0.723)
Pr (0.812, 0.750, 0.277)
Y (0.336, 0.750, 0.335)
Y (0.664, 0.250, 0.665)
S (0.100, 0.250, 0.367)
S (0.213, 0.750, 0.000)
S (0.431, 0.750, 0.671)
S (0.569, 0.250, 0.329)
S (0.787, 0.250, 0.000)
S (0.900, 0.750, 0.633)


No. 4
Here is DyEr8Pb6 after structural relaxation from Alexandria via LeMat-Bulk. Energies are from PBE.

Calculated values
E_tot: -68.03 eV per formula unit

Lattice parameters (Å, degrees): 8.392 8.392 8.392 65.33 65.33 65.33
Element x y z (fractional)
Dy (0.000, 0.000, 0.000)
Er (0.105, 0.438, 0.773)
Er (0.227, 0.895, 0.562)
Er (0.333, 0.333, 0.333)
Er (0.438, 0.773, 0.105)
Er (0.562, 0.227, 0.895)
Er (0.667, 0.667, 0.667)
Er (0.773, 0.105, 0.438)
Er (0.895, 0.562, 0.227)
Pb (0.069, 0.734, 0.403)
Pb (0.266, 0.597, 0.931)
Pb (0.403, 0.069, 0.734)
Pb (0.597, 0.931, 0.266)
Pb (0.734, 0.403, 0.069)
Pb (0.931, 0.266, 0.597)


No. 5
Here is ZrInIr3 after structural relaxation from Alexandria via LeMat-Bulk. Energies are from PBE.

Calculated values
distance to the lowest polymorph of the same formula: 0 meV per atom

Lattice parameters (Å, degrees): 4.877 4.877 4.877 90.00 90.00 90.00
Element x y z (fractional)
Zr (0.000, 0.000, 0.000)
In (0.500, 0.500, 0.500)
Ir (0.000, 0.000, 0.500)
Ir (0.000, 0.500, 0.000)
Ir (0.500, 0.000, 0.000)


No. 6
Here is LuZrMnRu after structural relaxation from Alexandria via LeMat-Bulk. Energies are from PBE.

Calculated values
E_tot: -32.34 eV per formula unit

Lattice parameters (Å, degrees): 4.670 4.670 4.670 60.00 60.00 60.00
Element x y z (fractional)
Lu (0.000, 0.000, 0.000)
Zr (0.500, 0.500, 0.500)
Mn (0.250, 0.250, 0.250)
Ru (0.750, 0.750, 0.750)


No. 7
Here is Re2SbPW after structural relaxation from Alexandria via LeMat-Bulk. Energies are from PBE.

Calculated values
distance to the lowest polymorph of the same formula: 1359 meV per atom
formation energy from raw total energies: 2902.7 meV/atom

Lattice parameters (Å, degrees): 4.835 4.835 4.918 90.00 90.00 90.00
Element x y z (fractional)
Re (0.000, 0.500, 0.000)
Re (0.500, 0.000, 0.000)
Sb (0.000, 0.000, 0.000)
P (0.500, 0.500, 0.500)
W (0.000, 0.000, 0.500)


No. 8
Here is PaCrH2 after structural relaxation from Alexandria via LeMat-Bulk. Energies are from PBE.

Calculated values
E_tot: -25.65 eV per formula unit

Lattice parameters (Å, degrees): 5.728 5.728 5.728 30.11 30.11 30.11
Element x y z (fractional)
Pa (0.000, 0.000, 0.000)
Cr (0.500, 0.500, 0.500)
H (0.217, 0.217, 0.217)
H (0.783, 0.783, 0.783)


No. 9
Here is Li2Be2CdAu5 after structural relaxation from Alexandria via LeMat-Bulk. Energies are from PBE.

Calculated values
E_tot: -31.48 eV per formula unit

Lattice parameters (Å, degrees): 9.945 9.945 3.369 90.00 90.00 90.00
Element x y z (fractional)
Li (0.174, 0.326, 0.000)
Li (0.326, 0.826, 0.000)
Li (0.674, 0.174, 0.000)
Li (0.826, 0.674, 0.000)
Be (0.123, 0.623, 0.000)
Be (0.377, 0.123, 0.000)
Be (0.623, 0.877, 0.000)
Be (0.877, 0.377, 0.000)
Cd (0.000, 0.000, 0.000)
Cd (0.500, 0.500, 0.000)
Au (0.000, 0.500, 0.500)
Au (0.077, 0.785, 0.500)
Au (0.215, 0.077, 0.500)
Au (0.285, 0.577, 0.500)
Au (0.423, 0.285, 0.500)
Au (0.500, 0.000, 0.500)
Au (0.577, 0.715, 0.500)
Au (0.715, 0.423, 0.500)
Au (0.785, 0.923, 0.500)
Au (0.923, 0.215, 0.500)


No. 10
Here is SbAuCl2 after structural relaxation from Alexandria via LeMat-Bulk. Energies are from PBE.

Calculated values
distance to the lowest polymorph of the same formula: 291 meV per atom
formation energy from raw total energies: -154.8 meV/atom

Lattice parameters (Å, degrees): 3.514 3.514 8.319 90.00 90.00 90.00
Element x y z (fractional)
Sb (0.000, 0.000, 0.000)
Au (0.500, 0.500, 0.188)
Cl (0.000, 0.000, 0.369)
Cl (0.500, 0.500, 0.781)


No. 11
Here is Tl2In9Sn after structural relaxation from Alexandria via LeMat-Bulk. Energies are from PBE.

Calculated values
E_tot: -33.09 eV per formula unit

Lattice parameters (Å, degrees): 5.139 5.139 12.780 90.00 90.00 90.00
Element x y z (fractional)
Tl (0.000, 0.000, 0.168)
Tl (0.000, 0.000, 0.832)
In (0.000, 0.500, 0.000)
In (0.000, 0.500, 0.339)
In (0.000, 0.500, 0.661)
In (0.500, 0.000, 0.000)
In (0.500, 0.000, 0.339)
In (0.500, 0.000, 0.661)
In (0.500, 0.500, 0.172)
In (0.500, 0.500, 0.500)
In (0.500, 0.500, 0.828)
Sn (0.000, 0.000, 0.500)


No. 12
Here is Rb2ThCdO4 after structural relaxation from Alexandria via LeMat-Bulk. Energies are from PBE.

Calculated values
formation energy from raw total energies: -2115.6 meV/atom

Lattice parameters (Å, degrees): 6.176 3.654 6.984 90.00 109.00 90.00
Element x y z (fractional)
Rb (0.000, 0.000, 0.000)
Rb (0.500, 0.500, 0.000)
Th (0.000, 0.500, 0.500)
Cd (0.500, 0.000, 0.500)
O (0.203, 0.000, 0.691)
O (0.261, 0.500, 0.323)
O (0.739, 0.500, 0.677)
O (0.797, 0.000, 0.309)


No. 13
Here is Ce2ScSi3Rh4 after structural relaxation from Alexandria via LeMat-Bulk. Energies are from PBE.

Calculated values
formation energy from raw total energies: -1010.6 meV/atom

Lattice parameters (Å, degrees): 4.093 4.093 10.682 90.00 90.00 90.00
Element x y z (fractional)
Ce (0.000, 0.500, 0.240)
Ce (0.500, 0.000, 0.760)
Sc (0.000, 0.000, 0.500)
Si (0.000, 0.500, 0.879)
Si (0.500, 0.000, 0.121)
Si (0.500, 0.500, 0.500)
Rh (0.000, 0.000, 0.000)
Rh (0.000, 0.500, 0.653)
Rh (0.500, 0.000, 0.347)
Rh (0.500, 0.500, 0.000)


No. 14
Here is MnRe2Ru after structural relaxation from Alexandria via LeMat-Bulk. Energies are from PBE.

Calculated values
distance to the lowest polymorph of the same formula: 364 meV per atom

Lattice parameters (Å, degrees): 4.314 4.314 4.314 60.00 60.00 60.00
Element x y z (fractional)
Mn (0.000, 0.000, 0.000)
Re (0.250, 0.250, 0.250)
Re (0.750, 0.750, 0.750)
Ru (0.500, 0.500, 0.500)


No. 15
Here is CoSn6Pd after structural relaxation from Alexandria via LeMat-Bulk. Energies are from PBE.

Calculated values
E_tot: -36.93 eV per formula unit

Lattice parameters (Å, degrees): 7.956 7.956 9.390 123.71 123.71 70.55
Element x y z (fractional)
Co (0.000, 0.500, 0.000)
Co (0.500, 0.000, 0.000)
Sn (0.155, 0.815, 0.319)
Sn (0.170, 0.516, 0.848)
Sn (0.185, 0.845, 0.681)
Sn (0.310, 0.310, 0.139)
Sn (0.359, 0.359, 0.500)
Sn (0.484, 0.830, 0.152)
Sn (0.516, 0.170, 0.848)
Sn (0.641, 0.641, 0.500)
Sn (0.690, 0.690, 0.861)
Sn (0.815, 0.155, 0.319)
Sn (0.830, 0.484, 0.152)
Sn (0.845, 0.185, 0.681)
Pd (0.000, 0.500, 0.500)
Pd (0.500, 0.000, 0.500)


No. 16
Here is Na3ZrSe4 after structural relaxation from Alexandria via LeMat-Bulk. Energies are from PBE.

Calculated values
formation energy from raw total energies: -1083.4 meV/atom

Lattice parameters (Å, degrees): 7.272 7.272 3.954 90.00 90.00 106.96
Element x y z (fractional)
Na (0.000, 0.000, 0.000)
Na (0.000, 0.500, 0.500)
Na (0.500, 0.000, 0.500)
Zr (0.500, 0.500, 0.000)
Se (0.270, 0.730, 0.000)
Se (0.281, 0.281, 0.500)
Se (0.719, 0.719, 0.500)
Se (0.730, 0.270, 0.000)


No. 17
Here is TbMgTlBi after structural relaxation from Alexandria via LeMat-Bulk. Energies are from PBE.

Calculated values
E_tot: -13.39 eV per formula unit

Lattice parameters (Å, degrees): 5.384 5.384 5.384 60.00 60.00 60.00
Element x y z (fractional)
Tb (0.000, 0.000, 0.000)
Mg (0.500, 0.500, 0.500)
Tl (0.250, 0.250, 0.250)
Bi (0.750, 0.750, 0.750)


No. 18
Here is KAl2BiRu after structural relaxation from Alexandria via LeMat-Bulk. Energies are from PBE.

Calculated values
E_tot: -19.30 eV per formula unit

Lattice parameters (Å, degrees): 4.833 4.833 5.749 90.00 90.00 90.00
Element x y z (fractional)
K (0.000, 0.000, 0.000)
Al (0.000, 0.500, 0.500)
Al (0.500, 0.000, 0.500)
Bi (0.500, 0.500, 0.000)
Ru (0.000, 0.000, 0.500)


No. 19
Here is Nd3Te4Pd3 after structural relaxation from Alexandria via LeMat-Bulk. Energies are from PBE.

Calculated values
formation energy from raw total energies: -1139.9 meV/atom

Lattice parameters (Å, degrees): 8.663 8.663 8.663 109.47 109.47 109.47
Element x y z (fractional)
Nd (0.125, 0.750, 0.875)
Nd (0.250, 0.625, 0.375)
Nd (0.375, 0.250, 0.625)
Nd (0.625, 0.375, 0.250)
Nd (0.750, 0.875, 0.125)
Nd (0.875, 0.125, 0.750)
Te (0.000, 0.334, 0.500)
Te (0.000, 0.834, 0.500)
Te (0.166, 0.166, 0.166)
Te (0.334, 0.500, 0.000)
Te (0.500, 0.000, 0.334)
Te (0.500, 0.000, 0.834)
Te (0.666, 0.666, 0.666)
Te (0.834, 0.500, 0.000)
Pd (0.125, 0.875, 0.250)
Pd (0.250, 0.125, 0.875)
Pd (0.375, 0.625, 0.750)
Pd (0.625, 0.750, 0.375)
Pd (0.750, 0.375, 0.625)
Pd (0.875, 0.250, 0.125)


No. 20
Here is Zr2TiPd6 after structural relaxation from Alexandria via LeMat-Bulk. Energies are from PBE.

Calculated values
E_tot: -60.77 eV per formula unit

Lattice parameters (Å, degrees): 7.956 7.956 2.936 90.00 90.00 123.41
Element x y z (fractional)
Zr (0.186, 0.814, 0.000)
Zr (0.814, 0.186, 0.000)
Ti (0.500, 0.500, 0.500)
Pd (0.160, 0.474, 0.500)
Pd (0.189, 0.189, 0.000)
Pd (0.474, 0.160, 0.500)
Pd (0.526, 0.840, 0.500)
Pd (0.811, 0.811, 0.000)
Pd (0.840, 0.526, 0.500)


Number 1: V 24.231 A^3/atom. Number 2: V 18.226 A^3/atom. Number 3: V 21.937 A^3/atom. Number 4: V 31.096 A^3/atom. Number 5: V 23.196 A^3/atom. Number 6: V 18.001 A^3/atom. Number 7: V 22.998 A^3/atom. Number 8: V 10.475 A^3/atom. Number 9: V 16.660 A^3/atom. Number 10: V 25.676 A^3/atom. Number 11: V 28.128 A^3/atom. Number 12: V 18.630 A^3/atom. Number 13: V 17.899 A^3/atom. Number 14: V 14.195 A^3/atom. Number 15: V 25.692 A^3/atom. Number 16: V 25.000 A^3/atom. Number 17: V 27.586 A^3/atom. Number 18: V 26.860 A^3/atom. Number 19: V 25.025 A^3/atom. Number 20: V 17.234 A^3/atom.